[1]
Compound: Rb3CaSc2Se6
Source: Alexandria via LeMat-Bulk
Functional: GGA-PBE
Structure: relaxed

Geometry as CIF:
```
data_Rb3CaSc2Se6
_cell_length_a 7.150
_cell_length_b 7.150
_cell_length_c 8.332
_cell_angle_alpha 98.24
_cell_angle_beta 98.24
_cell_angle_gamma 120.03
_space_group_name_H-M_alt 'P 1'
_space_group_IT_number 1
_space_group_name_Hall 'P 1'
loop_
_atom_site_label
_atom_site_fract_x
_atom_site_fract_y
_atom_site_fract_z
Rb1 0.161 0.839 0.500
Rb2 0.839 0.161 0.500
Rb3 0.500 0.500 0.500
Ca1 0.000 0.000 0.000
Sc1 0.333 0.667 0.000
Sc2 0.667 0.333 0.000
Se1 0.936 0.582 0.809
Se2 0.709 0.709 0.189
Se3 0.064 0.418 0.191
Se4 0.582 0.936 0.809
Se5 0.291 0.291 0.811
Se6 0.418 0.064 0.191
```

M_tot ... 0.0 μB/cell
Uncorrected formation energy ... -17.88 eV per formula unit
SG ... No. 12



[2]
Compound: NaMg2CdAs
Source: Alexandria via LeMat-Bulk
Functional: GGA-PBE
Structure: relaxed

Geometry as CIF:
```
data_NaMg2CdAs
_cell_length_a 5.102
_cell_length_b 5.475
_cell_length_c 5.102
_cell_angle_alpha 90.00
_cell_angle_beta 90.00
_cell_angle_gamma 90.00
_space_group_name_H-M_alt 'P 1'
_space_group_IT_number 1
_space_group_name_Hall 'P 1'
loop_
_atom_site_label
_atom_site_fract_x
_atom_site_fract_y
_atom_site_fract_z
Na1 0.000 0.500 0.000
As1 0.000 0.000 0.000
Mg1 0.000 0.000 0.500
Mg2 0.500 0.000 0.000
Cd1 0.500 0.500 0.500
```

ΔH_f (0 K) ... -0.069 eV/atom
M_tot ... 0.0 μB/cell
SG ... No. 123



[3]
Compound: MgTcMo
Source: Alexandria via LeMat-Bulk
Functional: GGA-PBE
Structure: relaxed

Geometry as CIF:
```
data_MgTcMo
_cell_length_a 5.399
_cell_length_b 5.399
_cell_length_c 5.399
_cell_angle_alpha 145.77
_cell_angle_beta 145.77
_cell_angle_gamma 49.18
_space_group_name_H-M_alt 'P 1'
_space_group_IT_number 1
_space_group_name_Hall 'P 1'
loop_
_atom_site_label
_atom_site_fract_x
_atom_site_fract_y
_atom_site_fract_z
Mg1 0.003 0.003 0.000
Mo1 0.313 0.313 0.000
Tc1 0.685 0.685 0.000
```

ΔH_f (0 K) ... 0.099 eV/atom
M_tot ... 0.0 μB/cell
SG ... No. 107
Energy above the lowest structure with this stoichiometry ... 0 meV/atom



[4]
Compound: TlSiAg
Source: Alexandria via LeMat-Bulk
Functional: GGA-PBE
Structure: relaxed

Geometry as CIF:
```
data_TlSiAg
_cell_length_a 7.440
_cell_length_b 4.523
_cell_length_c 8.613
_cell_angle_alpha 90.00
_cell_angle_beta 90.00
_cell_angle_gamma 90.00
_space_group_name_H-M_alt 'P 1'
_space_group_IT_number 1
_space_group_name_Hall 'P 1'
loop_
_atom_site_label
_atom_site_fract_x
_atom_site_fract_y
_atom_site_fract_z
Tl1 0.919 0.250 0.326
Tl2 0.581 0.750 0.826
Tl3 0.081 0.750 0.674
Tl4 0.419 0.250 0.174
Si1 0.248 0.250 0.474
Si2 0.252 0.750 0.974
Si3 0.752 0.750 0.526
Si4 0.748 0.250 0.026
Ag1 0.098 0.250 0.946
Ag2 0.402 0.750 0.446
Ag3 0.902 0.750 0.054
Ag4 0.598 0.250 0.554
```

M_tot ... 0.0 μB/cell
Uncorrected formation energy ... 1.12 eV per formula unit
SG ... No. 62



[5]
Compound: CsNpAgBr6
Source: Alexandria via LeMat-Bulk
Functional: GGA-PBE
Structure: relaxed

Geometry as CIF:
```
data_CsNpAgBr6
_cell_length_a 7.350
_cell_length_b 7.350
_cell_length_c 16.445
_cell_angle_alpha 90.00
_cell_angle_beta 90.00
_cell_angle_gamma 120.00
_space_group_name_H-M_alt 'P 1'
_space_group_IT_number 1
_space_group_name_Hall 'P 1'
loop_
_atom_site_label
_atom_site_fract_x
_atom_site_fract_y
_atom_site_fract_z
Cs1 0.000 0.000 0.000
Cs2 0.000 0.000 0.500
Np1 0.667 0.333 0.250
Np2 0.333 0.667 0.750
Ag1 0.333 0.667 0.250
Ag2 0.667 0.333 0.750
Br1 0.640 0.626 0.150
Br2 0.986 0.360 0.150
Br3 0.360 0.986 0.650
Br4 0.014 0.640 0.850
Br5 0.374 0.360 0.350
Br6 0.986 0.626 0.350
Br7 0.626 0.986 0.850
Br8 0.640 0.014 0.350
Br9 0.014 0.374 0.650
Br10 0.374 0.014 0.150
Br11 0.626 0.640 0.650
Br12 0.360 0.374 0.850
```

M_tot ... 6.0 μB/cell
Uncorrected formation energy ... -10.69 eV per formula unit
SG ... No. 163



[6]
Compound: Pr2MgP
Source: Alexandria via LeMat-Bulk
Functional: GGA-PBE
Structure: relaxed

Geometry as CIF:
```
data_Pr2MgP
_cell_length_a 3.932
_cell_length_b 3.932
_cell_length_c 10.618
_cell_angle_alpha 79.33
_cell_angle_beta 79.33
_cell_angle_gamma 60.00
_space_group_name_H-M_alt 'P 1'
_space_group_IT_number 1
_space_group_name_Hall 'P 1'
loop_
_atom_site_label
_atom_site_fract_x
_atom_site_fract_y
_atom_site_fract_z
Pr1 0.113 0.113 0.661
Pr2 0.887 0.887 0.339
P1 0.500 0.500 0.500
Mg1 0.000 0.000 0.000
```

ΔH_f (0 K) ... -0.469 eV/atom
M_tot ... 0.0 μB/cell
SG ... No. 166
Energy above the lowest structure with this stoichiometry ... 208 meV/atom



[7]
Compound: TcSbOs2
Source: Alexandria via LeMat-Bulk
Functional: GGA-PBE
Structure: relaxed

Geometry as CIF:
```
data_TcSbOs2
_cell_length_a 4.878
_cell_length_b 4.878
_cell_length_c 4.878
_cell_angle_alpha 132.04
_cell_angle_beta 132.04
_cell_angle_gamma 70.17
_space_group_name_H-M_alt 'P 1'
_space_group_IT_number 1
_space_group_name_Hall 'P 1'
loop_
_atom_site_label
_atom_site_fract_x
_atom_site_fract_y
_atom_site_fract_z
Os1 0.000 0.000 0.000
Os2 0.250 0.750 0.500
Sb1 0.500 0.500 0.000
Tc1 0.750 0.250 0.500
```

M_tot ... 0.0 μB/cell
Uncorrected formation energy ... 1.84 eV per formula unit
SG ... No. 119



[8]
Compound: Sr2AgHg
Source: Alexandria via LeMat-Bulk
Functional: GGA-PBE
Structure: relaxed

Geometry as CIF:
```
data_Sr2AgHg
_cell_length_a 7.892
_cell_length_b 7.892
_cell_length_c 7.892
_cell_angle_alpha 36.12
_cell_angle_beta 36.12
_cell_angle_gamma 36.12
_space_group_name_H-M_alt 'P 1'
_space_group_IT_number 1
_space_group_name_Hall 'P 1'
loop_
_atom_site_label
_atom_site_fract_x
_atom_site_fract_y
_atom_site_fract_z
Ag1 0.458 0.458 0.458
Hg1 0.792 0.792 0.792
Sr1 0.037 0.037 0.037
Sr2 0.214 0.214 0.214
```

ΔH_f (0 K) ... -0.291 eV/atom
M_tot ... 0.0 μB/cell
SG ... No. 160